1.
First-principles (GGA-PBE) data for crystalline K2AlCr2S6 at its relaxed geometry, as listed in the Alexandria database.

Computed properties:
Spin magnetization: 5.0 μB/f.u.
Energy: -5.480 eV per atom
Crystal system: monoclinic

Cell: 6.1376 10.4089 7.7151 Å, 90.00 104.27 90.00°
Last column: nearest neighbours and their distance in Å.
Space group C2/m (No. 12)
Inequivalent atoms, fractional coordinates:
K 0.0000 0.1728 0.0000 [4 per cell]  6 S 3.15-3.17, 2 K 3.46
Al 0.0000 0.0000 0.5000 [2 per cell]  6 S 2.40-2.47
Cr 0.0000 0.3403 0.5000 [4 per cell]  6 S 2.38-2.44
S 0.2216 0.1677 0.6721 [8 per cell]  1 Al 2.40, 2 Cr 2.41-2.44
S 0.2224 0.5000 0.6835 [4 per cell]  2 Cr 2.38, 1 Al 2.47

2.
First-principles (GGA-PBE) data for crystalline Dy2MnWN5 at its relaxed geometry, as listed in the Alexandria database.

Computed properties:
Spin magnetization: 0.5 μB/f.u.
Energy: -9.001 eV per atom
Crystal system: orthorhombic

Cell: 3.1801 13.6825 9.7577 Å, 90.00 90.00 90.00°
Last column: nearest neighbours and their distance in Å.
Space group Cmc2_1 (No. 36)
Inequivalent atoms, fractional coordinates:
Dy 0.0000 0.1194 0.0000 [4 per cell]  8 N 2.44-2.58
Dy 0.0000 0.1281 0.6308 [4 per cell]  7 N 2.41-2.63
Mn 0.0000 0.4480 0.7607 [4 per cell]  4 N 1.76-1.96
W 0.0000 0.2019 0.3278 [4 per cell]  3 N 1.91-2.11
N 0.0000 0.0321 0.3427 [4 per cell]  2 Mn 1.80
N 0.0000 0.3002 0.9697 [4 per cell]  2 W 2.11
N 0.0000 0.3168 0.6805 [4 per cell]  1 Mn 1.96, 2 W 2.16
N 0.0000 0.3410 0.3152 [4 per cell]  1 W 1.91
N 0.0000 0.4980 0.5950 [4 per cell]  1 Mn 1.76

3.
First-principles (GGA-PBE) data for crystalline PaNbNi2H6 at its relaxed geometry, as listed in the Alexandria database.

Computed properties:
Spin magnetization: 0.0 μB/f.u.
Energy: -5.416 eV per atom
Crystal system: trigonal

Cell: 4.4442 4.4442 14.8986 Å, 90.00 90.00 120.00°
Last column: nearest neighbours and their distance in Å.
Space group R-3m (No. 166, hexagonal axes)
Inequivalent atoms, fractional coordinates:
Pa 0.0000 0.0000 0.0000 [3 per cell]  12 H 2.42
Nb 0.0000 0.0000 0.5000 [3 per cell]  6 H 1.97
Ni 0.0000 0.0000 0.1980 [6 per cell]  3 H 1.70
H 0.0102 0.5051 0.0638 [18 per cell]  1 Ni 1.70

4.
First-principles (GGA-PBE) data for crystalline CaPtW at its relaxed geometry, as listed in the Alexandria database.

Computed properties:
Calculated formation energy: -183 meV per atom
Spin magnetization: 0.0 μB/f.u.
Energy: -7.181 eV per atom
Crystal system: orthorhombic

Cell: 4.4872 11.0117 5.1999 Å, 90.00 90.00 90.00°
Last column: nearest neighbours and their distance in Å.
Space group Cmcm (No. 63)
Inequivalent atoms, fractional coordinates:
Ca 0.0000 0.2142 0.2500 [4 per cell]  5 Pt 3.05-3.33, 2 W 3.41
Pt 0.0000 0.0627 0.7500 [4 per cell]  4 W 2.68, 2 Pt 2.94
W 0.0000 0.5000 0.0000 [4 per cell]  2 W 2.60, 4 Pt 2.68

5.
First-principles (GGA-PBE) data for crystalline Zr2ScPIr at its relaxed geometry, as listed in the Alexandria database.

Computed properties:
Calculated formation energy: -300 meV per atom
Spin magnetization: 0.0 μB/f.u.
Energy: -7.839 eV per atom
Crystal system: tetragonal

Cell: 4.8683 4.8683 4.4663 Å, 90.00 90.00 90.00°
Last column: nearest neighbours and their distance in Å.
Space group P4/mmm (No. 123)
Inequivalent atoms, fractional coordinates:
Zr 0.0000 0.5000 0.0000 [2 per cell]  2 P 2.43
Sc 0.0000 0.0000 0.5000 [1 per cell]  8 Zr 3.30, 4 Ir 3.44
P 0.5000 0.5000 0.0000 [1 per cell]  2 Ir 2.23, 4 Zr 2.43
Ir 0.5000 0.5000 0.5000 [1 per cell]  2 P 2.23

6.
First-principles (GGA-PBE) data for crystalline InIrOs at its relaxed geometry, as listed in the Alexandria database.

Computed properties:
Polymorph energy (0 for the lowest one): 34 kJ/mol of formula units
Calculated formation energy: 329 meV per atom
Spin magnetization: 0.0 μB/f.u.
Energy: -7.281 eV per atom
Crystal system: trigonal

Cell: 2.8869 2.8869 6.7850 Å, 90.00 90.00 120.00°
Last column: nearest neighbours and their distance in Å.
Space group P3m1 (No. 156)
Inequivalent atoms, fractional coordinates:
In 0.0000 0.0000 0.0000 [1 per cell]  3 Ir 2.88, 6 In 2.89, 3 Os 2.90
Ir 0.6667 0.3333 0.3470 [1 per cell]  3 Os 2.65, 3 In 2.88, 6 Ir 2.89
Os 0.3333 0.6667 0.6501 [1 per cell]  3 Ir 2.65, 6 Os 2.89, 3 In 2.90